The following is a PBE-GGA calculation of a geometry-optimized Pr3Ag2Sn structure, from Alexandria via LeMat-Bulk.

Cell lengths 3.8390, 5.3890, 8.5875 Å; angles 108.29, 90.00, 90.00 degrees
Last column: nearest neighbours and their distance in Å.
Fractional coordinates of all 6 atoms:
Ag 0.0000 0.3294 0.6588  8 Pr 3.26-3.38
Ag 0.0000 0.6706 0.3412  8 Pr 3.26-3.38
Pr 0.5000 0.8320 0.6639  6 Ag 3.26-3.31, 2 Sn 3.35
Pr 0.5000 0.1680 0.3361  6 Ag 3.26-3.31, 2 Sn 3.35
Pr 0.5000 0.5000 0.0000  4 Sn 3.31, 4 Ag 3.38
Sn 0.0000 0.0000 0.0000  8 Pr 3.31-3.35

Formation energy = -0.3964 eV per atom
Crystal system = orthorhombic

The following is a PBE-GGA calculation of a geometry-optimized ZnRe2Cl structure, from Alexandria via LeMat-Bulk.

Cell lengths 5.6124, 5.6124, 4.2490 Å; angles 86.73, 86.73, 29.09 degrees
Last column: nearest neighbours and their distance in Å.
Fractional coordinates of all 4 atoms:
Re 0.4558 0.4558 0.5198  1 Cl 2.57, 6 Re 2.64-2.82, 2 Zn 2.77
Re 0.0442 0.0442 0.9802  1 Cl 2.57, 6 Re 2.64-2.82, 2 Zn 2.77
Zn 0.7500 0.7500 0.7500  4 Cl 2.55, 4 Re 2.77, 2 Zn 2.82
Cl 0.2500 0.2500 0.2500  4 Zn 2.55, 2 Re 2.57, 2 Cl 2.82

Excess energy over the best structure of this formula in the dataset = 55.7 kJ per mole of atoms
Crystal system = monoclinic
Formation energy (no corrections) = 0.651 eV/atom

The following is a PBE-GGA calculation of a geometry-optimized Y4Mg structure, from Alexandria via LeMat-Bulk.

Cell lengths 3.6191, 3.6191, 11.9598 Å; angles 98.70, 98.70, 90.00 degrees
Last column: nearest neighbours and their distance in Å.
Fractional coordinates of all 5 atoms:
Y 0.4094 0.4094 0.8188  4 Mg 3.32, 8 Y 3.56-3.62
Y 0.5906 0.5906 0.1812  4 Mg 3.32, 8 Y 3.56-3.62
Y 0.1965 0.1965 0.3930  12 Y 3.56-3.62
Y 0.8035 0.8035 0.6070  12 Y 3.56-3.62
Mg 0.0000 0.0000 0.0000  8 Y 3.32, 4 Mg 3.62

Formation energy = -0.0228 eV per atom
Excess energy over the best structure of this formula in the dataset = 0.0 kJ per mole of atoms
Crystal system = tetragonal

The following is a PBE-GGA calculation of a geometry-optimized USi2Ni2Os structure, from Alexandria via LeMat-Bulk.

Cell lengths 4.5764, 4.5764, 5.1060 Å; angles 90.00, 90.00, 90.00 degrees
Last column: nearest neighbours and their distance in Å.
Fractional coordinates of all 6 atoms:
Ni 0.5000 0.5000 0.7465  2 Ni 2.52-2.59, 4 Si 2.63
Ni 0.5000 0.5000 0.2535  2 Ni 2.52-2.59, 4 Si 2.63
U 0.0000 0.0000 0.5000  2 Os 2.55
Si 0.5000 0.0000 0.0000  2 Os 2.29
Si 0.0000 0.5000 0.0000  2 Os 2.29
Os 0.0000 0.0000 0.0000  4 Si 2.29, 2 U 2.55

Crystal system = tetragonal
Formation energy (no corrections) = 0.235 eV/atom

The following is a PBE-GGA calculation of a geometry-optimized CaCd structure, from Alexandria via LeMat-Bulk.

Cell lengths 6.2393, 7.0013, 3.6367 Å; angles 74.95, 73.06, 49.73 degrees
Last column: nearest neighbours and their distance in Å.
Fractional coordinates of all 4 atoms:
Ca 0.0726 0.9709 0.9783  7 Cd 3.36-3.41, 4 Ca 3.64-3.66
Ca 0.8441 0.6124 0.7717  7 Cd 3.36-3.41, 4 Ca 3.64-3.66
Cd 0.4025 0.1405 0.2285  2 Cd 3.10, 7 Ca 3.36-3.41
Cd 0.5142 0.4429 0.5215  2 Cd 3.10, 7 Ca 3.36-3.41

Formation energy = -0.2857 eV per atom
Crystal system = monoclinic

The following is a PBE-GGA calculation of a geometry-optimized CsAl6S8 structure, from Alexandria via LeMat-Bulk.

Cell lengths 6.8747, 6.8747, 6.8747 Å; angles 90.05, 90.05, 90.05 degrees
Last column: nearest neighbours and their distance in Å.
Fractional coordinates of all 15 atoms:
Al 0.4302 0.7872 0.6030  5 S 2.31-2.51
Al 0.3970 0.5698 0.2128  5 S 2.31-2.51
Al 0.5698 0.2128 0.3970  5 S 2.31-2.51
Al 0.2128 0.3970 0.5698  5 S 2.31-2.51
Al 0.7872 0.6030 0.4302  5 S 2.31-2.51
Al 0.6030 0.4302 0.7872  5 S 2.31-2.51
Cs 0.0000 0.0000 0.0000  2 S 3.16
S 0.1301 0.7079 0.4107  4 Al 2.47-2.51
S 0.2921 0.5893 0.8699  4 Al 2.47-2.51
S 0.8699 0.2921 0.5893  4 Al 2.47-2.51
S 0.5893 0.8699 0.2921  4 Al 2.47-2.51
S 0.4107 0.1301 0.7079  4 Al 2.47-2.51
S 0.7079 0.4107 0.1301  4 Al 2.47-2.51
S 0.2653 0.2653 0.2653  3 Al 2.31
S 0.7347 0.7347 0.7347  3 Al 2.31

Crystal system = trigonal
Formation energy (no corrections) = -0.800 eV/atom

Let's list calculated total energy in order: -4.4037 -6.3530 -5.5130 -7.2531 -1.7440 -4.5556 eV per atom.
Let's list size of the total moment in order: 0.124 0.000 0.090 0.333 0.000 0.000 μB/atom.
Let's list Fermi-level density of states in order: 6.7 2.5 8.2 10.4 2.8 6.4 states/eV per cell.